A plane-wave DFT calculation with PBE was carried out for an optimized crystal structure of VOsRu3.

Lattice parameters (Å, degrees): 3.807 6.048 8.558 134.79 90.00 90.00
Element x y z (fractional)
V 0.250 0.216 0.162
V 0.750 0.784 0.838
Os 0.250 0.803 0.349
Os 0.750 0.197 0.651
Ru 0.750 0.597 0.444
Ru 0.250 0.403 0.556
Ru 0.750 0.397 0.044
Ru 0.250 0.996 0.754
Ru 0.250 0.603 0.956
Ru 0.750 0.004 0.246

Values from the calculation:
Space-group type: P2_1/m
Formation enthalpy at 0 K, eV/atom: -0.01
Total DFT energy (no corrections), eV per atom: -9.64
Polymorph energy (0 for the lowest one), eV per atom: 0.054